Density functional theory data (PBE) for crystalline KGaAuO at its relaxed geometry.

CIF file:
```
data_KGaAuO
_symmetry_space_group_name_H-M 'A m m 2'
_symmetry_Int_Tables_number 38
_cell_length_a 4.883
_cell_length_b 4.340
_cell_length_c 23.642
_cell_angle_alpha 90.00
_cell_angle_beta 90.00
_cell_angle_gamma 90.00
loop_
_symmetry_equiv_pos_as_xyz
'x,y,z'
'-x,-y,z'
'-x,y,z'
'x,-y,z'
'x,y+1/2,z+1/2'
'-x,-y+1/2,z+1/2'
'-x,y+1/2,z+1/2'
'x,-y+1/2,z+1/2'
loop_
_atom_site_label
_atom_site_type_symbol
_atom_site_fract_x
_atom_site_fract_y
_atom_site_fract_z
K1 K 0.000 0.000 0.000
K2 K 0.000 0.000 0.128
Ga1 Ga 0.258 0.000 0.361
Au1 Au 0.000 0.000 0.264
Au2 Au 0.000 0.000 0.865
O1 O 0.354 0.000 0.564
```

Crystal system: orthorhombic
E: -3.27 eV/atom



Density functional theory data (PBE) for crystalline Gd2YCd3Ag3 at its relaxed geometry.

CIF file:
```
data_Gd2YCd3Ag3
_symmetry_space_group_name_H-M 'A m m 2'
_symmetry_Int_Tables_number 38
_cell_length_a 3.926
_cell_length_b 13.650
_cell_length_c 7.877
_cell_angle_alpha 90.00
_cell_angle_beta 90.00
_cell_angle_gamma 90.00
loop_
_symmetry_equiv_pos_as_xyz
'x,y,z'
'-x,-y,z'
'-x,y,z'
'x,-y,z'
'x,y+1/2,z+1/2'
'-x,-y+1/2,z+1/2'
'-x,y+1/2,z+1/2'
'x,-y+1/2,z+1/2'
loop_
_atom_site_label
_atom_site_type_symbol
_atom_site_fract_x
_atom_site_fract_y
_atom_site_fract_z
Gd1 Gd 0.000 0.202 0.000
Y1 Y 0.000 0.000 0.606
Cd1 Cd 0.500 0.000 0.938
Cd2 Cd 0.500 0.131 0.334
Ag1 Ag 0.000 0.000 0.202
Ag2 Ag 0.500 0.166 0.702
```

Crystal system: orthorhombic
ΔH_f (0 K): -0.34 eV per atom



Density functional theory data (PBE) for crystalline NdBePO at its relaxed geometry.

CIF file:
```
data_NdBePO
_symmetry_space_group_name_H-M 'P m c 21'
_symmetry_Int_Tables_number 26
_cell_length_a 4.175
_cell_length_b 6.043
_cell_length_c 5.592
_cell_angle_alpha 90.00
_cell_angle_beta 90.00
_cell_angle_gamma 90.00
loop_
_symmetry_equiv_pos_as_xyz
'x,y,z'
'-x,-y,z+1/2'
'-x,y,z'
'x,-y,z+1/2'
loop_
_atom_site_label
_atom_site_type_symbol
_atom_site_fract_x
_atom_site_fract_y
_atom_site_fract_z
Nd1 Nd 0.000 0.250 0.000
Be1 Be 0.500 0.118 0.606
P1 P 0.000 0.272 0.509
O1 O 0.500 0.094 0.911
```

Crystal system: orthorhombic
E: -6.48 eV/atom